Compound: BeTe2P
Source: Alexandria
Functional: meta-GGA SCAN
Structure: single point on PBEsol structure

Lattice parameters (Å, degrees): 8.222 8.222 8.222 26.13 26.13 26.13
Atoms (fractional coordinates):
Be 0.000 0.000 0.000
Te 0.393 0.393 0.393
Te 0.607 0.607 0.607
P 0.500 0.500 0.500

The calculation puts the energy above the lowest structure with this stoichiometry at 0 meV per atom. As for the space-group type: R-3m. The calculation puts the total energy at -21.810 eV/atom. The value obtained for the total magnetization is 0.000 μB per formula unit.



Compound: Sm3CuSiSe7
Source: Alexandria
Functional: meta-GGA SCAN
Structure: single point on PBEsol structure

Lattice parameters (Å, degrees): 10.362 10.362 5.936 90.00 90.00 120.00
Atoms (fractional coordinates):
Sm 0.129 0.773 0.000
Sm 0.227 0.356 0.000
Sm 0.356 0.129 0.500
Sm 0.644 0.871 0.000
Sm 0.773 0.644 0.500
Sm 0.871 0.227 0.500
Cu 0.000 0.000 0.026
Cu 0.000 0.000 0.526
Si 0.333 0.667 0.413
Si 0.667 0.333 0.913
Se 0.094 0.835 0.515
Se 0.101 0.520 0.261
Se 0.165 0.259 0.515
Se 0.259 0.094 0.015
Se 0.333 0.667 0.793
Se 0.419 0.899 0.261
Se 0.480 0.581 0.261
Se 0.520 0.419 0.761
Se 0.581 0.101 0.761
Se 0.667 0.333 0.293
Se 0.741 0.906 0.515
Se 0.835 0.741 0.015
Se 0.899 0.480 0.761
Se 0.906 0.165 0.015

As for the space-group type: P6_3. The calculation puts the total energy at -26.454 eV/atom. The value obtained for the total magnetization is 0.000 μB per formula unit.



Compound: SbTeAu
Source: Alexandria
Functional: meta-GGA SCAN
Structure: single point on PBEsol structure

Lattice parameters (Å, degrees): 4.121 4.121 5.067 90.00 90.00 120.00
Atoms (fractional coordinates):
Sb 0.000 0.000 0.000
Te 0.667 0.333 0.585
Au 0.333 0.667 0.282

As for the space-group type: P3m1. The calculation puts the total energy at -48.078 eV/atom. The value obtained for the total magnetization is 0.000 μB per formula unit.



Compound: TaBe2TePd
Source: Alexandria
Functional: meta-GGA SCAN
Structure: single point on PBEsol structure

Lattice parameters (Å, degrees): 4.385 4.385 5.052 90.00 90.00 90.00
Atoms (fractional coordinates):
Ta 0.000 0.000 0.000
Be 0.000 0.500 0.500
Be 0.500 0.000 0.500
Te 0.000 0.000 0.500
Pd 0.500 0.500 0.000

As for the space-group type: P4/mmm. The calculation puts the total energy at -27.460 eV/atom. The value obtained for the total magnetization is 0.000 μB per formula unit.



Compound: ScAlTc2
Source: Alexandria
Functional: meta-GGA SCAN
Structure: single point on PBEsol structure

Lattice parameters (Å, degrees): 2.989 2.989 7.141 90.00 90.00 90.00
Atoms (fractional coordinates):
Sc 0.000 0.000 0.000
Al 0.500 0.500 0.699
Tc 0.000 0.000 0.476
Tc 0.500 0.500 0.273

The calculation puts the energy above the lowest structure with this stoichiometry at 17 meV per atom. The energy relative to the elements comes out at -366 meV per atom. As for the space-group type: P4mm. The calculation puts the total energy at -23.394 eV/atom. The value obtained for the total magnetization is 0.000 μB per formula unit.



Compound: MnCu2Cl
Source: Alexandria
Functional: meta-GGA SCAN
Structure: single point on PBEsol structure

Lattice parameters (Å, degrees): 5.461 5.461 4.085 111.77 111.77 30.15
Atoms (fractional coordinates):
Mn 0.000 0.000 0.000
Cu 0.261 0.261 0.761
Cu 0.739 0.739 0.239
Cl 0.500 0.500 0.500

The calculation puts the energy above the lowest structure with this stoichiometry at 309 meV per atom. As for the space-group type: C2/m. The calculation puts the total energy at -14.030 eV/atom. The value obtained for the total magnetization is 4.390 μB per formula unit.